(1)
The following is a DFT calculation (GGA-PBE) of a geometry-optimized Hf2AgHg structure.

Output
ΔE_f (eV/atom): 0.010
SG: No. 123
Total energy (eV/atom): -5.7553

```
data_Hf2AgHg
_cell_length_a 4.351
_cell_length_b 4.351
_cell_length_c 4.282
_cell_angle_alpha 90.00
_cell_angle_beta 90.00
_cell_angle_gamma 90.00
_symmetry_space_group_name_H-M 'P 1'
_symmetry_Int_Tables_number 1
loop_
_symmetry_equiv_pos_as_xyz
'x,y,z'
loop_
_atom_site_label
_atom_site_fract_x
_atom_site_fract_y
_atom_site_fract_z
_atom_site_occupancy
Hf1 0.000 0.500 0.000 1
Hf2 0.500 0.000 0.000 1
Ag1 0.000 0.000 0.500 1
Hg1 0.500 0.500 0.500 1
```


(2)
The following is a DFT calculation (GGA-PBE) of a geometry-optimized CaGeS3 structure.

Output
Formation energy without anion corrections (eV per atom): -0.592
SG: No. 221
Total energy (eV/atom): -4.3924

```
data_CaGeS3
_cell_length_a 4.756
_cell_length_b 4.756
_cell_length_c 4.756
_cell_angle_alpha 90.00
_cell_angle_beta 90.00
_cell_angle_gamma 90.00
_symmetry_space_group_name_H-M 'P 1'
_symmetry_Int_Tables_number 1
loop_
_symmetry_equiv_pos_as_xyz
'x,y,z'
loop_
_atom_site_label
_atom_site_fract_x
_atom_site_fract_y
_atom_site_fract_z
_atom_site_occupancy
Ca1 0.000 0.000 0.000 1
Ge1 0.500 0.500 0.500 1
S1 0.000 0.500 0.500 1
S2 0.500 0.000 0.500 1
S3 0.500 0.500 0.000 1
```


(3)
The following is a DFT calculation (GGA-PBE) of a geometry-optimized LiAc2GePt6 structure.

Output
ΔE_f (eV/atom): -0.825
SG: No. 2
Total energy (eV/atom): -5.9241

```
data_LiAc2GePt6
_cell_length_a 5.588
_cell_length_b 6.703
_cell_length_c 6.849
_cell_angle_alpha 83.59
_cell_angle_beta 65.96
_cell_angle_gamma 65.39
_symmetry_space_group_name_H-M 'P 1'
_symmetry_Int_Tables_number 1
loop_
_symmetry_equiv_pos_as_xyz
'x,y,z'
loop_
_atom_site_label
_atom_site_fract_x
_atom_site_fract_y
_atom_site_fract_z
_atom_site_occupancy
Li1 0.000 0.000 0.000 1
Ac1 0.460 0.278 0.801 1
Ac2 0.540 0.722 0.199 1
Ge1 0.000 0.500 0.500 1
Pt1 0.019 0.745 0.735 1
Pt2 0.146 0.100 0.607 1
Pt3 0.499 0.255 0.265 1
Pt4 0.501 0.745 0.735 1
Pt5 0.854 0.900 0.393 1
Pt6 0.981 0.255 0.265 1
```


- Which of these has the lowest total energy?
  LiAc2GePt6


Repeat the first record exactly.
The following is a DFT calculation (GGA-PBE) of a geometry-optimized Hf2AgHg structure.

Output
ΔE_f (eV/atom): 0.010
SG: No. 123
Total energy (eV/atom): -5.7553

```
data_Hf2AgHg
_cell_length_a 4.351
_cell_length_b 4.351
_cell_length_c 4.282
_cell_angle_alpha 90.00
_cell_angle_beta 90.00
_cell_angle_gamma 90.00
_symmetry_space_group_name_H-M 'P 1'
_symmetry_Int_Tables_number 1
loop_
_symmetry_equiv_pos_as_xyz
'x,y,z'
loop_
_atom_site_label
_atom_site_fract_x
_atom_site_fract_y
_atom_site_fract_z
_atom_site_occupancy
Hf1 0.000 0.500 0.000 1
Hf2 0.500 0.000 0.000 1
Ag1 0.000 0.000 0.500 1
Hg1 0.500 0.500 0.500 1
```


Please write out number 3 again, unchanged.
The following is a DFT calculation (GGA-PBE) of a geometry-optimized LiAc2GePt6 structure.

Output
ΔE_f (eV/atom): -0.825
SG: No. 2
Total energy (eV/atom): -5.9241

```
data_LiAc2GePt6
_cell_length_a 5.588
_cell_length_b 6.703
_cell_length_c 6.849
_cell_angle_alpha 83.59
_cell_angle_beta 65.96
_cell_angle_gamma 65.39
_symmetry_space_group_name_H-M 'P 1'
_symmetry_Int_Tables_number 1
loop_
_symmetry_equiv_pos_as_xyz
'x,y,z'
loop_
_atom_site_label
_atom_site_fract_x
_atom_site_fract_y
_atom_site_fract_z
_atom_site_occupancy
Li1 0.000 0.000 0.000 1
Ac1 0.460 0.278 0.801 1
Ac2 0.540 0.722 0.199 1
Ge1 0.000 0.500 0.500 1
Pt1 0.019 0.745 0.735 1
Pt2 0.146 0.100 0.607 1
Pt3 0.499 0.255 0.265 1
Pt4 0.501 0.745 0.735 1
Pt5 0.854 0.900 0.393 1
Pt6 0.981 0.255 0.265 1
```